Entry from the Alexandria database: ZrTaBr after structural relaxation (GGA-PBEsol).

The structure belongs to space group F-43m (No. 216); the cell edges are 6.466, 6.466 and 6.466 Å and the angles 90.00°, 90.00° and 90.00°. The inequivalent atoms are Zr at (0.000, 0.000, 0.000), Ta at (0.250, 0.250, 0.250) and Br at (0.000, 0.000, 0.500).

For the energy relative to the elements, uncorrected, the calculation gives 1.246 eV per atom. The calculation puts the theoretical density at 8.65 g/cm³. Its crystal system is cubic. As for the calculated volume: 270.3 Å³/cell.